SmErSnPt | PBE | relaxed

Values from the calculation:
The raw total energy is -5.6583 eV per atom. The calculation puts the energy relative to the elements at -826.9 meV per atom.

Geometry as POSCAR:
```
SmErSnPt
1.0
0.000 3.663 3.663
3.663 0.000 3.663
3.663 3.663 0.000
Sm Er Sn Pt
1 1 1 1
direct
0.000 0.000 0.000 Sm
0.500 0.500 0.500 Er
0.750 0.750 0.750 Sn
0.250 0.250 0.250 Pt
```


SeI2BrO | PBE | relaxed

Values from the calculation:
As for the formation energy without anion corrections: 0.199 eV per atom. The raw total energy is -2.4437 eV per atom.

Geometry as POSCAR:
```
SeI2BrO
1.0
6.003 0.000 0.000
0.000 6.003 0.000
0.000 0.000 3.785
Se I Br O
1 2 1 1
direct
0.000 0.000 0.000 Se
0.000 0.500 0.000 I
0.500 0.000 0.000 I
0.500 0.500 0.500 Br
0.000 0.000 0.500 O
```


Pr6Ho2Tm3Sc | PBE | relaxed

Values from the calculation:
The raw total energy is -4.7715 eV per atom. The calculation puts the energy relative to the elements at 26.7 meV per atom.

Geometry as POSCAR:
```
Pr6Ho2Tm3Sc
1.0
3.123 -5.407 0.000
3.123 5.407 0.000
-2.080 0.000 11.540
Pr Ho Tm Sc
6 2 3 1
direct
0.082 0.413 0.749 Pr
0.248 0.248 0.251 Pr
0.413 0.082 0.749 Pr
0.587 0.918 0.251 Pr
0.752 0.752 0.749 Pr
0.918 0.587 0.251 Pr
0.333 0.667 0.500 Ho
0.667 0.333 0.500 Ho
0.167 0.833 0.000 Tm
0.500 0.500 0.000 Tm
0.833 0.167 0.000 Tm
0.000 0.000 0.500 Sc
```


Li3Ac2Pb4 | PBE | relaxed

Values from the calculation:
The raw total energy is -3.6053 eV per atom. The calculation puts the energy relative to the elements at -406.3 meV per atom.

Geometry as POSCAR:
```
Li3Ac2Pb4
1.0
3.402 -8.537 0.000
3.402 8.537 0.000
0.000 0.000 8.616
Li Ac Pb
6 4 8
direct
0.000 0.000 0.000 Li
0.028 0.472 0.250 Li
0.472 0.028 0.750 Li
0.500 0.500 0.500 Li
0.528 0.972 0.250 Li
0.972 0.528 0.750 Li
0.112 0.888 0.408 Ac
0.388 0.612 0.908 Ac
0.612 0.388 0.092 Ac
0.888 0.112 0.592 Ac
0.180 0.820 0.014 Pb
0.197 0.303 0.250 Pb
0.303 0.197 0.750 Pb
0.320 0.680 0.514 Pb
0.680 0.320 0.486 Pb
0.697 0.803 0.250 Pb
0.803 0.697 0.750 Pb
0.820 0.180 0.986 Pb
```


PaCdNiRu | PBE | relaxed

Values from the calculation:
The raw total energy is -6.5086 eV per atom. The calculation puts the energy relative to the elements at -141.5 meV per atom.

Geometry as POSCAR:
```
PaCdNiRu
1.0
0.000 3.310 3.310
3.310 0.000 3.310
3.310 3.310 0.000
Pa Cd Ni Ru
1 1 1 1
direct
0.000 0.000 0.000 Pa
0.500 0.500 0.500 Cd
0.750 0.750 0.750 Ni
0.250 0.250 0.250 Ru
```


GaRuSe2N | PBE | relaxed

Values from the calculation:
As for the formation energy without anion corrections: 1.102 eV per atom. The raw total energy is -4.4174 eV per atom.

Geometry as POSCAR:
```
GaRuSe2N
1.0
5.060 0.000 0.000
0.000 5.060 0.000
0.000 0.000 3.560
Ga Ru Se N
1 1 2 1
direct
0.000 0.000 0.000 Ga
0.500 0.500 0.500 Ru
0.000 0.500 0.000 Se
0.500 0.000 0.000 Se
0.000 0.000 0.500 N
```


PrBi2TeO4 | PBE | relaxed

Values from the calculation:
As for the formation energy without anion corrections: -1.708 eV per atom. The raw total energy is -6.1476 eV per atom.

Geometry as POSCAR:
```
PrBi2TeO4
1.0
3.968 0.000 0.000
0.000 3.968 0.000
0.000 0.000 10.250
Pr Bi Te O
1 2 1 4
direct
0.000 0.000 0.000 Pr
0.500 0.500 0.253 Bi
0.500 0.500 0.747 Bi
0.000 0.000 0.500 Te
0.000 0.500 0.146 O
0.000 0.500 0.854 O
0.500 0.000 0.146 O
0.500 0.000 0.854 O
```


Sc2Ag2Sb | PBE | relaxed

Values from the calculation:
As for the formation energy without anion corrections: -0.215 eV per atom. The raw total energy is -4.7125 eV per atom.

Geometry as POSCAR:
```
Sc2Ag2Sb
1.0
-1.908 1.908 7.776
1.908 -1.908 7.776
1.908 1.908 -7.776
Sc Ag Sb
2 2 1
direct
0.099 0.099 0.000 Sc
0.901 0.901 0.000 Sc
0.250 0.750 0.500 Ag
0.750 0.250 0.500 Ag
0.500 0.500 0.000 Sb
```


Y2TaPb | PBE | relaxed

Values from the calculation:
The raw total energy is -7.0308 eV per atom. The calculation puts the energy relative to the elements at 91.5 meV per atom.

Geometry as POSCAR:
```
Y2TaPb
1.0
3.330 0.000 0.000
0.000 5.353 0.000
-0.048 0.000 5.726
Y Ta Pb
2 1 1
direct
0.000 0.000 0.000 Y
0.013 0.500 0.624 Y
0.508 0.000 0.484 Ta
0.506 0.500 0.148 Pb
```


LiAgRu2 | PBE | relaxed

Values from the calculation:
The raw total energy is -5.4495 eV per atom. The calculation puts the energy relative to the elements at 379.7 meV per atom.

Geometry as POSCAR:
```
LiAgRu2
1.0
3.606 0.000 0.000
0.000 3.606 0.000
0.000 0.000 4.482
Li Ag Ru
1 1 2
direct
0.000 0.000 0.000 Li
0.500 0.500 0.000 Ag
0.000 0.500 0.500 Ru
0.500 0.000 0.500 Ru
```


GaPd4Pt3 | PBE | relaxed

Values from the calculation:
The raw total energy is -5.4455 eV per atom. The calculation puts the energy relative to the elements at -205.4 meV per atom.

Geometry as POSCAR:
```
GaPd4Pt3
1.0
9.350 -1.417 0.000
9.350 1.417 0.000
-1.184 0.000 4.638
Ga Pd Pt
1 4 3
direct
0.000 0.000 0.000 Ga
0.126 0.126 0.493 Pd
0.248 0.248 0.246 Pd
0.752 0.752 0.754 Pd
0.874 0.874 0.507 Pd
0.382 0.382 0.016 Pt
0.500 0.500 0.500 Pt
0.618 0.618 0.984 Pt
```


FePd2I | PBE | relaxed

Values from the calculation:
As for the formation energy without anion corrections: 0.403 eV per atom. The raw total energy is -4.6970 eV per atom.

Geometry as POSCAR:
```
FePd2I
1.0
-3.699 3.699 2.745
3.699 -3.699 2.745
3.699 3.699 -2.745
Fe Pd I
2 4 2
direct
0.000 0.000 0.000 Fe
0.750 0.250 0.500 Fe
0.099 0.125 0.474 Pd
0.375 0.901 0.026 Pd
0.651 0.625 0.526 Pd
0.875 0.349 0.974 Pd
0.250 0.750 0.500 I
0.500 0.500 0.000 I
```


TaTcNi2 | PBE | relaxed

Values from the calculation:
The raw total energy is -8.5233 eV per atom. The calculation puts the energy relative to the elements at -78.0 meV per atom.

Geometry as POSCAR:
```
TaTcNi2
1.0
-1.887 1.892 3.826
1.887 -1.892 3.826
1.887 1.892 -3.826
Ta Tc Ni
1 1 2
direct
0.000 0.000 0.000 Ta
0.250 0.750 0.500 Tc
0.500 0.500 0.000 Ni
0.750 0.250 0.500 Ni
```


TeBrCl2 | PBE | relaxed

Values from the calculation:
As for the formation energy without anion corrections: -0.337 eV per atom. The raw total energy is -2.4644 eV per atom.

Geometry as POSCAR:
```
TeBrCl2
1.0
5.573 0.000 0.000
0.000 4.279 0.000
-2.767 0.000 6.497
Te Br Cl
1 1 2
direct
0.000 0.000 0.000 Te
0.500 0.000 0.000 Br
0.127 0.500 0.253 Cl
0.873 0.500 0.747 Cl
```


KAsPd | PBE | relaxed

Values from the calculation:
The raw total energy is -4.1098 eV per atom. The calculation puts the energy relative to the elements at -463.2 meV per atom.

Geometry as POSCAR:
```
KAsPd
1.0
5.579 -2.245 0.000
5.579 2.245 0.000
-4.897 0.000 6.362
K As Pd
2 2 2
direct
0.069 0.069 0.350 K
0.931 0.931 0.650 K
0.350 0.350 0.897 As
0.650 0.650 0.103 As
0.244 0.244 0.101 Pd
0.756 0.756 0.899 Pd
```


Tm4ScTl7 | PBE | relaxed

Values from the calculation:
The raw total energy is -3.4667 eV per atom. The calculation puts the energy relative to the elements at -68.3 meV per atom.

Geometry as POSCAR:
```
Tm4ScTl7
1.0
6.909 -2.735 0.000
6.909 2.735 0.000
-6.139 0.000 9.221
Tm Sc Tl
4 1 7
direct
0.079 0.079 0.283 Tm
0.216 0.216 0.826 Tm
0.784 0.784 0.174 Tm
0.921 0.921 0.717 Tm
0.500 0.500 0.500 Sc
0.000 0.000 0.500 Tl
0.134 0.134 0.048 Tl
0.287 0.287 0.606 Tl
0.416 0.416 0.177 Tl
0.584 0.584 0.823 Tl
0.713 0.713 0.394 Tl
0.866 0.866 0.952 Tl
```


LiRhSe2 | PBE | relaxed

Values from the calculation:
As for the formation energy without anion corrections: -0.404 eV per atom. The raw total energy is -4.4627 eV per atom.

Geometry as POSCAR:
```
LiRhSe2
1.0
3.977 0.000 0.000
0.000 1.698 4.859
0.000 -1.698 4.859
Li Rh Se
1 1 2
direct
0.000 0.000 0.000 Li
0.500 0.188 0.188 Rh
0.000 0.741 0.741 Se
0.500 0.461 0.461 Se
```


TmZrAg2 | PBE | relaxed

Values from the calculation:
The raw total energy is -4.7853 eV per atom. The calculation puts the energy relative to the elements at -104.7 meV per atom.

Geometry as POSCAR:
```
TmZrAg2
1.0
0.000 3.520 3.520
3.520 0.000 3.520
3.520 3.520 0.000
Tm Zr Ag
1 1 2
direct
0.000 0.000 0.000 Tm
0.500 0.500 0.500 Zr
0.250 0.250 0.250 Ag
0.750 0.750 0.750 Ag
```


Pr5NdIn3 | PBE | relaxed

Values from the calculation:
The raw total energy is -4.4381 eV per atom. The calculation puts the energy relative to the elements at -340.3 meV per atom.

Geometry as POSCAR:
```
Pr5NdIn3
1.0
9.698 0.000 0.000
-4.849 8.399 0.000
0.000 0.000 6.992
Pr Nd In
10 2 6
direct
0.000 0.334 0.250 Pr
0.000 0.666 0.750 Pr
0.333 0.667 0.000 Pr
0.333 0.667 0.500 Pr
0.334 0.000 0.250 Pr
0.334 0.334 0.750 Pr
0.666 0.000 0.750 Pr
0.666 0.666 0.250 Pr
0.667 0.333 0.000 Pr
0.667 0.333 0.500 Pr
0.000 0.000 0.000 Nd
0.000 0.000 0.500 Nd
0.000 0.332 0.750 In
0.000 0.668 0.250 In
0.332 0.000 0.750 In
0.332 0.332 0.250 In
0.668 0.000 0.250 In
0.668 0.668 0.750 In
```


BaHf2SbF | PBE | relaxed

Values from the calculation:
As for the formation energy without anion corrections: 0.295 eV per atom. The raw total energy is -5.2698 eV per atom.

Geometry as POSCAR:
```
BaHf2SbF
1.0
5.318 0.000 0.000
0.000 5.318 0.000
0.000 0.000 7.104
Ba Hf Sb F
1 2 1 1
direct
0.000 0.000 0.000 Ba
0.000 0.500 0.500 Hf
0.500 0.000 0.500 Hf
0.000 0.000 0.500 Sb
0.500 0.500 0.000 F
```


TlTeAu2 | PBE | relaxed

Values from the calculation:
As for the formation energy without anion corrections: 0.052 eV per atom. The raw total energy is -2.9639 eV per atom.

Geometry as POSCAR:
```
TlTeAu2
1.0
-2.621 2.621 8.647
2.621 -2.621 8.647
2.621 2.621 -8.647
Tl Te Au
2 2 4
direct
0.000 0.000 0.000 Tl
0.750 0.250 0.500 Tl
0.250 0.750 0.500 Te
0.500 0.500 0.000 Te
0.191 0.625 0.066 Au
0.375 0.441 0.566 Au
0.559 0.125 0.934 Au
0.875 0.809 0.434 Au
```


Li2TaFe | PBE | relaxed

Values from the calculation:
The raw total energy is -5.9297 eV per atom. The calculation puts the energy relative to the elements at 106.0 meV per atom.

Geometry as POSCAR:
```
Li2TaFe
1.0
4.067 0.000 0.000
0.000 3.025 0.000
-1.923 0.000 9.678
Li Ta Fe
4 2 2
direct
0.072 0.250 0.126 Li
0.422 0.250 0.859 Li
0.578 0.750 0.141 Li
0.928 0.750 0.874 Li
0.295 0.750 0.595 Ta
0.705 0.250 0.405 Ta
0.178 0.750 0.347 Fe
0.822 0.250 0.653 Fe
```


Li4AgPd3 | PBE | relaxed

Values from the calculation:
The raw total energy is -3.5460 eV per atom. The calculation puts the energy relative to the elements at -285.3 meV per atom.

Geometry as POSCAR:
```
Li4AgPd3
1.0
9.014 -1.470 0.000
9.014 1.470 0.000
-0.753 0.000 4.514
Li Ag Pd
4 1 3
direct
0.115 0.115 0.181 Li
0.257 0.257 0.758 Li
0.743 0.743 0.242 Li
0.885 0.885 0.819 Li
0.000 0.000 0.500 Ag
0.364 0.364 0.300 Pd
0.500 0.500 0.000 Pd
0.636 0.636 0.700 Pd
```


TbPm2TmAs4 | PBE | relaxed

Values from the calculation:
The raw total energy is -6.1698 eV per atom. The calculation puts the energy relative to the elements at -1519.6 meV per atom.

Geometry as POSCAR:
```
TbPm2TmAs4
1.0
7.219 0.000 0.000
0.000 4.174 0.000
-2.410 0.000 6.810
Tb Pm Tm As
1 2 1 4
direct
0.000 0.000 0.000 Tb
0.500 0.000 0.500 Pm
0.500 0.500 0.000 Pm
0.000 0.500 0.500 Tm
0.241 0.000 0.745 As
0.242 0.500 0.250 As
0.758 0.500 0.750 As
0.759 0.000 0.255 As
```


Sr2CdSiPt | PBE | relaxed

Values from the calculation:
As for the formation energy without anion corrections: -0.493 eV per atom. The raw total energy is -3.6419 eV per atom.

Geometry as POSCAR:
```
Sr2CdSiPt
1.0
5.963 0.000 0.000
0.000 5.963 0.000
0.000 0.000 4.576
Sr Cd Si Pt
2 1 1 1
direct
0.000 0.500 0.000 Sr
0.500 0.000 0.000 Sr
0.000 0.000 0.500 Cd
0.500 0.500 0.500 Si
0.500 0.500 0.000 Pt
```


LiMgCo2B | PBE | relaxed

Values from the calculation:
The raw total energy is -4.9240 eV per atom. The calculation puts the energy relative to the elements at -44.5 meV per atom.

Geometry as POSCAR:
```
LiMgCo2B
1.0
3.816 0.000 0.000
0.000 3.816 0.000
0.000 0.000 4.061
Li Mg Co B
1 1 2 1
direct
0.000 0.000 0.000 Li
0.500 0.500 0.000 Mg
0.000 0.500 0.500 Co
0.500 0.000 0.500 Co
0.000 0.000 0.500 B
```